BeIrRu2: optimized geometry, GGA-PBEsol.

abc: 2.6919 3.7283 5.0183
angles: 90.00 90.00 90.00
With the nearest neighbours (Å) after each atom.
Space group Pmmm (No. 47)
Asymmetric unit:
Be1 0.0000 0.0000 0.0000  2 Ir 2.51, 8 Ru 2.58, 2 Be 2.69
Ir1 0.0000 0.0000 0.5000  2 Be 2.51, 8 Ru 2.66, 2 Ir 2.69
Ru1 0.5000 0.5000 0.2351  1 Ru 2.36, 4 Be 2.58

Output
The value obtained for the energy of formation from the pure elements is 0.03 eV/atom. For the density, the calculation gives 13.299 Mg/m³.

BeIrRuW2: optimized geometry, GGA-PBEsol.

abc: 4.1515 4.1515 3.9770
angles: 90.00 90.00 90.00
With the nearest neighbours (Å) after each atom.
Space group P4/mmm (No. 123)
Asymmetric unit:
Be1 0.0000 0.0000 0.0000  2 Ru 1.99, 4 W 2.08
Ir1 0.5000 0.5000 0.5000  8 W 2.87, 4 Ru 2.94
Ru1 0.0000 0.0000 0.5000  2 Be 1.99
W1 0.0000 0.5000 0.0000  2 Be 2.08

Output
The value obtained for the energy of formation from the pure elements is 0.58 eV/atom. For the density, the calculation gives 16.231 Mg/m³.

BeSiIrS2: optimized geometry, GGA-PBEsol.

abc: 4.1251 4.1251 4.1225
angles: 90.00 90.00 90.00
With the nearest neighbours (Å) after each atom.
Space group P4/mmm (No. 123)
Asymmetric unit:
Be1 0.0000 0.0000 0.0000  2 Si 2.06, 4 S 2.06
Si1 0.0000 0.0000 0.5000  2 Be 2.06
Ir1 0.5000 0.5000 0.5000  8 S 2.92, 4 Si 2.92
S1 0.0000 0.5000 0.0000  2 Be 2.06

Output
Its uncorrected formation energy is 0.783 eV per atom. For the density, the calculation gives 6.946 Mg/m³.

Sr2BeIrS: optimized geometry, GGA-PBEsol.

abc: 5.6269 5.6269 4.2738
angles: 90.00 90.00 90.00
With the nearest neighbours (Å) after each atom.
Space group P4/mmm (No. 123)
Asymmetric unit:
Sr1 0.0000 0.5000 0.0000  2 S 2.81
Be1 0.0000 0.0000 0.5000  8 Sr 3.53
Ir1 0.5000 0.5000 0.5000  2 S 2.14
S1 0.5000 0.5000 0.0000  2 Ir 2.14

Output
Its uncorrected formation energy is -0.055 eV per atom. For the density, the calculation gives 5.013 Mg/m³.

BeSbIr: optimized geometry, GGA-PBEsol.

abc: 5.9388 5.9388 5.9388
angles: 90.00 90.00 90.00
With the nearest neighbours (Å) after each atom.
Space group F-43m (No. 216)
Asymmetric unit:
Be1 0.0000 0.0000 0.0000  4 Sb 2.57
Sb1 0.2500 0.2500 0.7500  4 Be 2.57, 4 Ir 2.57
Ir1 0.0000 0.0000 0.5000  4 Sb 2.57

Output
Its uncorrected formation energy is 0.450 eV per atom. For the density, the calculation gives 10.242 Mg/m³.

BeSbIr2: optimized geometry, GGA-PBEsol.

abc: 5.7708 6.7003 2.9997
angles: 90.00 90.00 90.00
With the nearest neighbours (Å) after each atom.
Space group Cmmm (No. 65)
Asymmetric unit:
Be1 0.0000 0.0000 0.0000  8 Ir 2.67, 2 Sb 2.89
Sb1 0.0000 0.5000 0.0000  8 Ir 2.67, 2 Be 2.89
Ir1 0.2500 0.2500 0.5000  4 Be 2.67, 4 Sb 2.67, 2 Ir 2.89

Output
Its uncorrected formation energy is 0.089 eV per atom. For the density, the calculation gives 14.752 Mg/m³.

BeSb2IrSe: optimized geometry, GGA-PBEsol.

abc: 5.0896 5.0896 4.2437
angles: 90.00 90.00 90.00
With the nearest neighbours (Å) after each atom.
Space group P4/mmm (No. 123)
Asymmetric unit:
Be1 0.0000 0.0000 0.0000  2 Ir 2.12
Sb1 0.0000 0.5000 0.5000  2 Ir 2.54
Ir1 0.0000 0.0000 0.5000  2 Be 2.12
Se1 0.5000 0.5000 0.0000  8 Sb 3.31, 4 Be 3.60

Output
Its uncorrected formation energy is 0.228 eV per atom. For the density, the calculation gives 7.911 Mg/m³.

ScBe4Ir: optimized geometry, GGA-PBEsol.

abc: 6.3170 6.3170 6.3170
angles: 90.00 90.00 90.00
With the nearest neighbours (Å) after each atom.
Space group F-43m (No. 216)
Asymmetric unit:
Sc1 0.0000 0.0000 0.0000  12 Be 2.62, 4 Ir 2.74
Be1 0.1236 0.1236 0.3764  6 Be 2.21-2.26
Ir1 0.2500 0.2500 0.7500  12 Be 2.62, 4 Sc 2.74

Output
The value obtained for the energy of formation from the pure elements is -0.60 eV/atom. For the density, the calculation gives 7.199 Mg/m³.

ScBe2Ir: optimized geometry, GGA-PBEsol.

abc: 3.6659 3.6659 3.8596
angles: 90.00 90.00 90.00
With the nearest neighbours (Å) after each atom.
Space group P4/mmm (No. 123)
Asymmetric unit:
Sc1 0.0000 0.0000 0.0000  4 Ir 2.59, 8 Be 2.66
Be1 0.0000 0.5000 0.5000  4 Be 2.59, 4 Ir 2.66, 4 Sc 2.66
Ir1 0.5000 0.5000 0.0000  4 Sc 2.59, 8 Be 2.66

Output
The value obtained for the energy of formation from the pure elements is -0.24 eV/atom. For the density, the calculation gives 8.170 Mg/m³.

ScBeIr2: optimized geometry, GGA-PBEsol.

abc: 2.9889 2.9889 6.0554
angles: 90.00 90.00 90.00
With the nearest neighbours (Å) after each atom.
Space group P4/mmm (No. 123)
Asymmetric unit:
Sc1 0.0000 0.0000 0.0000  8 Ir 2.71, 4 Sc 2.99, 2 Be 3.03
Be1 0.0000 0.0000 0.5000  8 Ir 2.49
Ir1 0.5000 0.5000 0.2814  4 Be 2.49, 1 Ir 2.65, 4 Sc 2.71

Output
The value obtained for the energy of formation from the pure elements is -0.68 eV/atom. For the density, the calculation gives 13.457 Mg/m³.

ScBe2Ir: optimized geometry, GGA-PBEsol.

abc: 3.8593 3.8593 13.3347
angles: 90.00 90.00 120.00
With the nearest neighbours (Å) after each atom.
Space group R3m (No. 160, hexagonal axes)
Asymmetric unit:
Sc1 0.0000 0.0000 0.0000  1 Be 2.55, 4 Ir 2.68-2.84
Be1 0.0000 0.0000 0.1912  3 Be 2.28, 3 Ir 2.36, 1 Sc 2.55
Be2 0.0000 0.0000 0.4892  3 Ir 2.25, 3 Be 2.28
Ir1 0.0000 0.0000 0.7992  6 Be 2.25-2.36

Output
The value obtained for the energy of formation from the pure elements is -0.40 eV/atom. For the density, the calculation gives 7.391 Mg/m³.

Sc2BeIr: optimized geometry, GGA-PBEsol.

abc: 2.9309 2.9309 27.0994
angles: 90.00 90.00 120.00
With the nearest neighbours (Å) after each atom.
Space group R-3m (No. 166, hexagonal axes)
Asymmetric unit:
Sc1 0.0000 0.0000 0.0907  1 Ir 2.46, 3 Be 2.66
Be1 0.0000 0.0000 0.5000  6 Sc 2.66, 6 Be 2.93
Ir1 0.0000 0.0000 0.0000  2 Sc 2.46

Output
The value obtained for the energy of formation from the pure elements is 0.28 eV/atom. For the density, the calculation gives 7.194 Mg/m³.

- What is the density in the seventh record?
  7.911 Mg/m³

- What is the formula in the fourth record?
  Sr2BeIrS

- What is the density in the sixth record?
  14.752 Mg/m³

- Look up the density of the twelfth one.
  7.194 Mg/m³